[1]
A plane-wave DFT calculation with PBE was carried out for a geometry-optimized K2CuW structure.

Cell lengths 6.6208, 6.6208, 2.7318 Å; angles 100.34, 100.34, 125.82 degrees
Closest atoms and distances in Å follow each position.
Sites, in units of the cell vectors:
K: 0.0000 0.5000 0.0000  4 K 2.73-3.02
K: 0.5000 0.0000 0.0000  4 K 2.73-3.02
Cu: 0.0000 0.0000 0.5000  2 Cu 2.73, 2 W 3.02
W: 0.5000 0.5000 0.5000  2 W 2.73, 2 Cu 3.02

Properties
Total moment (μB per cell): 0.65
Formation energy (meV/atom): 1444
Energy (eV/f.u.): -13.5

[2]
A plane-wave DFT calculation with PBE was carried out for a geometry-optimized OsRh2Au structure.

Cell lengths 3.9339, 3.9339, 3.8902 Å; angles 90.00, 90.00, 90.00 degrees
Closest atoms and distances in Å follow each position.
Sites, in units of the cell vectors:
Os: 0.0000 0.0000 0.0000  8 Rh 2.77, 4 Au 2.78
Rh: 0.0000 0.5000 0.5000  4 Os 2.77, 4 Au 2.77, 4 Rh 2.78
Rh: 0.5000 0.0000 0.5000  4 Os 2.77, 4 Au 2.77, 4 Rh 2.78
Au: 0.5000 0.5000 0.0000  8 Rh 2.77, 4 Os 2.78

Properties
Total moment (μB per cell): 0.00
Formation energy (meV/atom): 400
Energy (eV/f.u.): -27.6

In order of appearance, energy relative to the lowest polymorph listed for this composition = 484.8; 333.9 meV per atom.